A plane-wave DFT calculation with PBE was carried out for crystalline Ba4NaSr15 at its relaxed geometry.

Unit cell a=6.064 b=6.064 c=30.526 alpha=90.00 beta=90.00 gamma=90.00
Atoms (fractional coordinates):
Ba  0.000  0.000  0.102
Ba  0.000  0.000  0.305
Ba  0.000  0.000  0.695
Ba  0.000  0.000  0.898
Na  0.000  0.000  0.500
Sr  0.000  0.500  0.000
Sr  0.000  0.500  0.204
Sr  0.000  0.500  0.407
Sr  0.000  0.500  0.593
Sr  0.000  0.500  0.796
Sr  0.500  0.000  0.000
Sr  0.500  0.000  0.204
Sr  0.500  0.000  0.407
Sr  0.500  0.000  0.593
Sr  0.500  0.000  0.796
Sr  0.500  0.500  0.102
Sr  0.500  0.500  0.307
Sr  0.500  0.500  0.500
Sr  0.500  0.500  0.693
Sr  0.500  0.500  0.898

Energy of formation ... 11 meV per atom
DFT total energy ... -1.70 eV/atom
Space-group type ... No. 123

***

A plane-wave DFT calculation with PBE was carried out for crystalline Ca3Ga2Pb at its relaxed geometry.

Unit cell a=3.701 b=3.701 c=11.641 alpha=90.00 beta=90.00 gamma=90.00
Atoms (fractional coordinates):
Ca  0.000  0.000  0.000
Ca  0.000  0.000  0.311
Ca  0.000  0.000  0.689
Ga  0.500  0.500  0.147
Ga  0.500  0.500  0.853
Pb  0.500  0.500  0.500

Energy of formation ... -471 meV per atom
DFT total energy ... -3.10 eV/atom
Space-group type ... No. 123

***

A plane-wave DFT calculation with PBE was carried out for crystalline ErTmP at its relaxed geometry.

Unit cell a=3.851 b=3.851 c=6.236 alpha=90.00 beta=90.00 gamma=120.00
Atoms (fractional coordinates):
Er  0.000  0.000  0.000
Tm  0.667  0.333  0.496
P  0.333  0.667  0.747

Energy of formation ... -959 meV per atom
DFT total energy ... -5.77 eV/atom
Space-group type ... No. 156
Energy above the lowest structure with this stoichiometry ... 0.0 meV per atom

***

A plane-wave DFT calculation with PBE was carried out for crystalline Zn2WCl at its relaxed geometry.

Unit cell a=2.819 b=4.445 c=5.071 alpha=90.00 beta=90.00 gamma=90.00
Atoms (fractional coordinates):
Zn  0.000  0.000  0.000
Zn  0.500  0.500  0.000
W  0.000  0.500  0.500
Cl  0.500  0.000  0.500

Formation energy without anion corrections ... 621 meV per atom
DFT total energy ... -3.72 eV/atom
Space-group type ... No. 47
Energy above the lowest structure with this stoichiometry ... 465.1 meV per atom

***

A plane-wave DFT calculation with PBE was carried out for crystalline SmCd2Au3 at its relaxed geometry.

Unit cell a=7.809 b=7.809 c=6.943 alpha=90.00 beta=90.00 gamma=142.31
Atoms (fractional coordinates):
Sm  0.155  0.845  0.000
Sm  0.845  0.155  0.000
Cd  0.174  0.826  0.500
Cd  0.500  0.500  0.000
Cd  0.500  0.500  0.500
Cd  0.826  0.174  0.500
Au  0.000  0.000  0.285
Au  0.000  0.000  0.715
Au  0.332  0.668  0.249
Au  0.332  0.668  0.751
Au  0.668  0.332  0.249
Au  0.668  0.332  0.751

Energy of formation ... -455 meV per atom
DFT total energy ... -3.19 eV/atom
Space-group type ... No. 65

***

A plane-wave DFT calculation with PBE was carried out for crystalline Li2NdMg2Ag2 at its relaxed geometry.

Unit cell a=4.835 b=4.835 c=8.046 alpha=108.12 beta=108.12 gamma=59.85
Atoms (fractional coordinates):
Li  0.149  0.149  0.441
Li  0.851  0.851  0.559
Nd  0.000  0.000  0.000
Mg  0.427  0.427  0.276
Mg  0.573  0.573  0.724
Ag  0.262  0.262  0.788
Ag  0.738  0.738  0.212

Energy of formation ... -187 meV per atom
DFT total energy ... -2.69 eV/atom
Space-group type ... No. 12

***

A plane-wave DFT calculation with PBE was carried out for crystalline MgCdAs2 at its relaxed geometry.

Unit cell a=5.146 b=5.146 c=5.146 alpha=127.86 beta=127.86 gamma=76.85
Atoms (fractional coordinates):
Mg  0.000  0.000  0.000
Cd  0.500  0.500  0.000
As  0.250  0.750  0.500
As  0.750  0.250  0.500

Energy of formation ... 0 meV per atom
DFT total energy ... -2.95 eV/atom
Space-group type ... No. 139
Energy above the lowest structure with this stoichiometry ... 120.9 meV per atom

***

A plane-wave DFT calculation with PBE was carried out for crystalline ThCrS3 at its relaxed geometry.

Unit cell a=7.424 b=8.914 c=6.247 alpha=90.00 beta=90.00 gamma=90.00
Atoms (fractional coordinates):
Th  0.118  0.250  0.050
Th  0.382  0.750  0.550
Th  0.618  0.250  0.450
Th  0.882  0.750  0.950
Cr  0.000  0.000  0.500
Cr  0.000  0.500  0.500
Cr  0.500  0.000  0.000
Cr  0.500  0.500  0.000
S  0.038  0.750  0.364
S  0.171  0.556  0.826
S  0.171  0.944  0.826
S  0.329  0.056  0.326
S  0.329  0.444  0.326
S  0.462  0.250  0.864
S  0.538  0.750  0.136
S  0.671  0.556  0.674
S  0.671  0.944  0.674
S  0.829  0.056  0.174
S  0.829  0.444  0.174
S  0.962  0.250  0.636

Formation energy without anion corrections ... -1408 meV per atom
DFT total energy ... -7.29 eV/atom
Space-group type ... No. 62

***

A plane-wave DFT calculation with PBE was carried out for crystalline LiGaCu at its relaxed geometry.

Unit cell a=4.109 b=4.109 c=6.950 alpha=107.27 beta=107.27 gamma=59.99
Atoms (fractional coordinates):
Li  0.209  0.209  0.130
Li  0.791  0.791  0.870
Ga  0.067  0.067  0.699
Ga  0.933  0.933  0.301
Cu  0.355  0.355  0.565
Cu  0.645  0.645  0.435

Energy of formation ... -122 meV per atom
DFT total energy ... -3.13 eV/atom
Space-group type ... No. 12

***

A plane-wave DFT calculation with PBE was carried out for crystalline La2InGa2 at its relaxed geometry.

Unit cell a=6.282 b=6.282 c=11.126 alpha=115.74 beta=115.74 gamma=43.44
Atoms (fractional coordinates):
La  0.006  0.006  0.179
La  0.182  0.182  0.599
La  0.818  0.818  0.401
La  0.994  0.994  0.821
In  0.286  0.286  0.149
In  0.714  0.714  0.851
Ga  0.367  0.367  0.935
Ga  0.474  0.474  0.607
Ga  0.526  0.526  0.393
Ga  0.633  0.633  0.065

Energy of formation ... -585 meV per atom
DFT total energy ... -4.31 eV/atom
Space-group type ... No. 12
Energy above the lowest structure with this stoichiometry ... 35.9 meV per atom

***

A plane-wave DFT calculation with PBE was carried out for crystalline TaB2Mo at its relaxed geometry.

Unit cell a=5.564 b=5.564 c=5.564 alpha=33.41 beta=33.41 gamma=33.41
Atoms (fractional coordinates):
Ta  0.000  0.000  0.000
B  0.247  0.247  0.247
B  0.753  0.753  0.753
Mo  0.500  0.500  0.500

Energy of formation ... -471 meV per atom
DFT total energy ... -9.48 eV/atom
Space-group type ... No. 166
Energy above the lowest structure with this stoichiometry ... 196.0 meV per atom

***

A plane-wave DFT calculation with PBE was carried out for crystalline ReAs2P at its relaxed geometry.

Unit cell a=8.734 b=8.734 c=8.734 alpha=20.18 beta=20.18 gamma=20.18
Atoms (fractional coordinates):
Re  0.000  0.000  0.000
As  0.519  0.519  0.519
As  0.740  0.740  0.740
P  0.269  0.269  0.269

Energy of formation ... 154 meV per atom
DFT total energy ... -6.64 eV/atom
Space-group type ... No. 160

***

A plane-wave DFT calculation with PBE was carried out for crystalline AlZnInAg at its relaxed geometry.

Unit cell a=4.792 b=4.792 c=4.792 alpha=60.00 beta=60.00 gamma=60.00
Atoms (fractional coordinates):
Al  0.000  0.000  0.000
Zn  0.250  0.250  0.250
In  0.500  0.500  0.500
Ag  0.750  0.750  0.750

Energy of formation ... 135 meV per atom
DFT total energy ... -2.52 eV/atom
Space-group type ... No. 216

***

A plane-wave DFT calculation with PBE was carried out for crystalline Mg2TiTc at its relaxed geometry.

Unit cell a=5.893 b=5.893 c=5.893 alpha=101.42 beta=101.42 gamma=127.16
Atoms (fractional coordinates):
Mg  0.108  0.625  0.983
Mg  0.375  0.358  0.483
Mg  0.642  0.125  0.017
Mg  0.875  0.892  0.517
Ti  0.250  0.750  0.500
Ti  0.500  0.500  0.000
Tc  0.000  0.000  0.000
Tc  0.750  0.250  0.500

Energy of formation ... 601 meV per atom
DFT total energy ... -4.76 eV/atom
Space-group type ... No. 122
Energy above the lowest structure with this stoichiometry ... 249.8 meV per atom

***

A plane-wave DFT calculation with PBE was carried out for crystalline Ti3CoB at its relaxed geometry.

Unit cell a=4.375 b=4.375 c=4.375 alpha=90.00 beta=90.00 gamma=90.00
Atoms (fractional coordinates):
Ti  0.000  0.000  0.500
Ti  0.000  0.500  0.000
Ti  0.500  0.000  0.000
Co  0.000  0.000  0.000
B  0.500  0.500  0.500

Energy of formation ... 798 meV per atom
DFT total energy ... -6.70 eV/atom
Space-group type ... No. 221
Energy above the lowest structure with this stoichiometry ... 757.8 meV per atom

***

A plane-wave DFT calculation with PBE was carried out for crystalline KMn3 at its relaxed geometry.

Unit cell a=4.332 b=4.332 c=4.332 alpha=90.00 beta=90.00 gamma=90.00
Atoms (fractional coordinates):
K  0.000  0.000  0.000
Mn  0.000  0.500  0.500
Mn  0.500  0.000  0.500
Mn  0.500  0.500  0.000

Energy of formation ... 1333 meV per atom
DFT total energy ... -5.82 eV/atom
Space-group type ... No. 221
Energy above the lowest structure with this stoichiometry ... 627.2 meV per atom

***

A plane-wave DFT calculation with PBE was carried out for crystalline SmCd2Bi at its relaxed geometry.

Unit cell a=4.569 b=4.569 c=5.117 alpha=90.00 beta=90.00 gamma=90.00
Atoms (fractional coordinates):
Sm  0.000  0.000  0.000
Cd  0.000  0.500  0.500
Cd  0.500  0.000  0.500
Bi  0.500  0.500  0.000

Energy of formation ... -424 meV per atom
DFT total energy ... -3.03 eV/atom
Space-group type ... No. 123

***

A plane-wave DFT calculation with PBE was carried out for crystalline Nd2CoBr at its relaxed geometry.

Unit cell a=8.208 b=8.208 c=8.208 alpha=28.09 beta=28.09 gamma=28.09
Atoms (fractional coordinates):
Nd  0.000  0.000  0.000
Nd  0.206  0.206  0.206
Co  0.603  0.603  0.603
Br  0.771  0.771  0.771

Formation energy without anion corrections ... -706 meV per atom
DFT total energy ... -5.28 eV/atom
Space-group type ... No. 160
Energy above the lowest structure with this stoichiometry ... 15.7 meV per atom

***

A plane-wave DFT calculation with PBE was carried out for crystalline KY2Tc at its relaxed geometry.

Unit cell a=4.254 b=4.254 c=10.218 alpha=95.36 beta=95.36 gamma=49.77
Atoms (fractional coordinates):
K  0.000  0.000  0.000
Y  0.222  0.222  0.648
Y  0.778  0.778  0.352
Tc  0.500  0.500  0.500

Energy of formation ... 290 meV per atom
DFT total energy ... -5.81 eV/atom
Space-group type ... No. 12
Energy above the lowest structure with this stoichiometry ... 167.0 meV per atom

***

A plane-wave DFT calculation with PBE was carried out for crystalline SrCa2PaP4 at its relaxed geometry.

Unit cell a=7.119 b=4.196 c=7.259 alpha=90.00 beta=110.26 gamma=90.00
Atoms (fractional coordinates):
Sr  0.000  0.000  0.000
Ca  0.500  0.000  0.500
Ca  0.500  0.500  0.000
Pa  0.000  0.500  0.500
P  0.232  0.000  0.724
P  0.243  0.500  0.276
P  0.757  0.500  0.724
P  0.768  0.000  0.276

Energy of formation ... -1082 meV per atom
DFT total energy ... -5.68 eV/atom
Space-group type ... No. 10